Entry 1:
Density functional theory data (PBE-GGA) for a relaxed structure of Rb3Na5Cd12.

a = 16.9543 Å, b = 16.9543 Å, c = 16.9543 Å
α = 109.47°, β = 109.47°, γ = 109.47°
Atoms (fractional coordinates):
Rb 0.7500 0.3750 0.1250
Rb 0.8750 0.7500 0.1250
Rb 0.3750 0.7500 0.6250
Rb 0.2500 0.1250 0.3750
Rb 0.8750 0.1250 0.2500
Rb 0.3750 0.6250 0.2500
Rb 0.6250 0.3750 0.7500
Rb 0.1250 0.8750 0.7500
Rb 0.7500 0.8750 0.6250
Rb 0.6250 0.2500 0.3750
Rb 0.1250 0.2500 0.8750
Rb 0.2500 0.6250 0.8750
Na 0.1250 0.3750 0.2500
Na 0.0000 0.5000 0.0000
Na 0.0000 0.0000 0.0000
Na 0.3750 0.2500 0.1250
Na 0.5000 0.0000 0.5000
Na 0.5000 0.5000 0.0000
Na 0.1250 0.7500 0.3750
Na 0.7500 0.1250 0.8750
Na 0.7500 0.6250 0.3750
Na 0.3750 0.1250 0.7500
Na 0.6250 0.8750 0.2500
Na 0.5000 0.5000 0.5000
Na 0.5000 0.0000 0.0000
Na 0.0000 0.0000 0.5000
Na 0.2500 0.3750 0.6250
Na 0.2500 0.8750 0.1250
Na 0.0000 0.5000 0.5000
Na 0.8750 0.2500 0.6250
Na 0.6250 0.7500 0.8750
Na 0.8750 0.6250 0.7500
Cd 0.7175 0.1503 0.0811
Cd 0.3636 0.5811 0.4308
Cd 0.9189 0.3497 0.2825
Cd 0.5811 0.2175 0.1503
Cd 0.5672 0.7175 0.6364
Cd 0.9189 0.5692 0.1364
Cd 0.3636 0.7825 0.4328
Cd 0.0692 0.9328 0.1503
Cd 0.5692 0.9189 0.6364
Cd 0.7175 0.5672 0.1364
Cd 0.7825 0.4189 0.3497
Cd 0.8636 0.9308 0.0811
Cd 0.1503 0.7175 0.5811
Cd 0.3497 0.4308 0.0672
Cd 0.0672 0.9308 0.3497
Cd 0.4328 0.1503 0.5692
Cd 0.0672 0.1364 0.2175
Cd 0.4189 0.6364 0.0692
Cd 0.8636 0.9328 0.2825
Cd 0.1503 0.4328 0.0692
Cd 0.3497 0.9189 0.7825
Cd 0.5692 0.6503 0.4328
Cd 0.9308 0.8636 0.5811
Cd 0.7825 0.3636 0.9328
Cd 0.4308 0.3497 0.5672
Cd 0.0692 0.1364 0.4189
Cd 0.2175 0.6364 0.0672
Cd 0.1364 0.0672 0.7175
Cd 0.6503 0.0811 0.2175
Cd 0.8497 0.5672 0.9308
Cd 0.5811 0.3636 0.9308
Cd 0.5672 0.8497 0.4308
Cd 0.9328 0.8636 0.7825
Cd 0.9328 0.0692 0.6503
Cd 0.8497 0.2825 0.4189
Cd 0.1364 0.0692 0.9189
Cd 0.6503 0.5692 0.9328
Cd 0.4308 0.0811 0.3636
Cd 0.2825 0.4328 0.8636
Cd 0.2175 0.5811 0.6503
Cd 0.9308 0.0672 0.8497
Cd 0.6364 0.2175 0.5672
Cd 0.4189 0.7825 0.8497
Cd 0.0811 0.4308 0.8636
Cd 0.4328 0.2825 0.3636
Cd 0.0811 0.6503 0.7175
Cd 0.6364 0.4189 0.5692
Cd 0.2825 0.8497 0.9189

- magnetization (μB/f.u.) = 0.00
- symmetry = No. 230
- VASP energy (eV per atom) = -0.802
- calculated volume (Å³/atom) = 46.9
- ΔH_f (0 K) (eV per atom) = 0.222



Entry 2:
Density functional theory data (PBE-GGA) for a relaxed structure of MnBe2Au.

a = 3.6765 Å, b = 2.9041 Å, c = 4.6219 Å
α = 71.60°, β = 90.00°, γ = 90.00°
Atoms (fractional coordinates):
Be 0.0000 0.1940 0.9885
Be 0.5000 0.0502 0.2733
Mn 0.0000 0.4767 0.4202
Au 0.5000 0.7791 0.8179

- magnetization (μB/f.u.) = 2.88
- symmetry = No. 6
- VASP energy (eV per atom) = -5.032
- calculated volume (Å³/atom) = 11.7
- ΔH_f (0 K) (eV per atom) = -0.057